# 1
## Hf3MnH6 (PBE)

Data for an optimized crystal structure of Hf3MnH6.

Lattice parameters (Å, degrees): 7.1479 10.2607 4.9097 90.00 90.00 90.00
Last column: nearest neighbours and their distance in Å.
Space group Cmc2_1 (No. 36)
Symmetry-distinct sites (fractional):
Hf 0.0000 0.1211 0.0000 x4  7 H 2.01-2.09
Hf 0.2177 0.3830 0.9980 x8  5 H 1.98-2.03
Mn 0.0000 0.3314 0.5286 x4  4 H 1.69-1.70
H 0.0000 0.2958 0.1898 x4  1 Mn 1.70
H 0.0000 0.4683 0.7229 x4  1 Mn 1.70
H 0.1413 0.0011 0.7499 x8  4 Hf 1.99-2.02, 1 H 2.02
H 0.1430 0.2422 0.7296 x8  1 Mn 1.69

Output
Theoretical density = 11.00 g cm⁻³
DFT total energy = -6.18 eV per atom
Magnetic moment = 0.000 μB/atom

=====

# 2
## K3Er2RuO6 (PBE)

Data for an optimized crystal structure of K3Er2RuO6.

Lattice parameters (Å, degrees): 5.7864 10.0135 6.4859 90.00 107.18 90.00
Last column: nearest neighbours and their distance in Å.
Space group C2/m (No. 12)
Symmetry-distinct sites (fractional):
K 0.0000 0.0000 0.0000 x2  6 O 2.72-2.79
K 0.0000 0.3382 0.0000 x4  6 O 2.70-2.82
Er 0.0000 0.1670 0.5000 x4  6 O 2.27
Ru 0.0000 0.5000 0.5000 x2  6 O 2.18-2.19
O 0.2225 0.3393 0.6854 x8  1 Ru 2.19, 2 Er 2.27
O 0.2396 0.0000 0.6842 x4  1 Ru 2.18, 2 Er 2.27

Output
Theoretical density = 6.00 g cm⁻³
Uncorrected formation energy = -2.144 eV per atom
Magnetic moment = 0.084 μB/atom

=====

# 3
## TmBeAl (PBE)

Data for an optimized crystal structure of TmBeAl.

Lattice parameters (Å, degrees): 3.6722 15.4712 3.9594 90.00 90.00 90.00
Last column: nearest neighbours and their distance in Å.
Space group Cmcm (No. 63)
Symmetry-distinct sites (fractional):
Tm 0.0000 0.0952 0.2500 x4  6 Be 2.78-2.83, 1 Al 3.05
Be 0.0000 0.4600 0.2500 x4  2 Be 2.33, 1 Al 2.59
Al 0.0000 0.2924 0.2500 x4  1 Be 2.59

Output
Theoretical density = 6.05 g cm⁻³
ΔE_f = -0.08 eV/atom
Polymorph energy (0 for the lowest one) = 0.55 eV per formula unit
Magnetic moment = 0.000 μB/atom